Arrangement P

A PBEsol-optimized structure of LiTi2O4, computed with meta-GGA SCAN.

extended XYZ file:
```
28
Lattice="-3.1017 1.7574 1.4492 -0.5487 -5.7082 5.7477 5.1638 4.7868 5.2470" Properties=species:S:1:pos:R:3 pbc="T T T"
Li -0.8592 0.8724 2.2124
Li 2.3727 -0.0365 10.2316
Li 2.8636 -1.8976 8.4297
Li 1.7516 0.9762 2.5650
Ti -0.0308 -2.1538 7.6552
Ti 0.1248 -4.3256 5.5126
Ti 0.3848 -1.6588 2.8351
Ti 4.2303 0.7373 8.1597
Ti 4.4903 3.4042 5.4822
Ti 1.5443 2.9898 4.7888
Ti 1.2928 0.3306 7.4752
Ti 0.2207 0.5054 4.9688
O 1.3339 -3.3425 6.9080
O 1.6080 -0.4184 3.9488
O -0.9801 -0.5010 3.6192
O -1.2694 -3.4393 6.5633
O 0.2331 -3.0280 4.1709
O 0.4816 -0.1936 1.2654
O 4.1336 -0.7278 9.7293
O 4.3820 2.1066 6.8238
O 2.7829 4.2753 5.8807
O 2.4936 1.3370 8.8248
O 3.0072 -0.5030 7.0460
O 3.2813 2.4211 4.0867
O 1.4000 1.6587 6.0941
O 1.0992 -1.2243 8.9465
O 0.4143 2.0603 3.4975
O 0.1135 -0.8227 6.3499
```

SG: Pmna (53)
V: 274.4 Å³ per cell

***

Arrangement Q

A PBEsol-optimized structure of LiTi2O4, computed with meta-GGA SCAN.

extended XYZ file:
```
14
Lattice="5.9117 0.0000 0.0000 2.9558 5.1197 0.0000 2.9558 1.7066 4.8269" Properties=species:S:1:pos:R:3 pbc="T T T"
Li 2.9558 1.7066 1.2067
Li 0.0000 0.0000 0.0000
Ti 4.4337 4.2664 3.0168
Ti 5.9117 1.7066 3.0168
Ti 5.9117 3.4131 0.6034
Ti 7.3896 4.2664 3.0168
O 4.5761 2.6420 1.8682
O 7.5320 5.8907 4.1654
O 10.2030 5.8907 4.1654
O 5.9117 4.9552 1.8682
O 7.2472 2.6420 1.8682
O 8.8675 5.1197 1.9844
O 8.8675 3.5775 4.1654
O 5.9117 3.4131 4.0491
```

SG: Fd-3m (227)
V: 146.1 Å³ per cell

***

Arrangement R

A PBEsol-optimized structure of LiTi2O4, computed with meta-GGA SCAN.

extended XYZ file:
```
14
Lattice="-1.6624 3.5422 -3.2243 0.5498 -3.2771 -4.0562 -5.5323 -1.8895 0.7766" Properties=species:S:1:pos:R:3 pbc="T T T"
Li -2.2354 0.1634 -4.3304
Li -4.4096 -1.7877 -2.1735
Ti -3.5974 0.8264 -1.2238
Ti -0.8312 1.7711 -1.6122
Ti -1.4081 -0.4464 0.0788
Ti -5.2368 -1.1779 -6.5827
O -2.9819 -1.0519 -0.9386
O -1.5260 -1.8442 -4.1615
O -5.6317 -1.9569 -0.5666
O -4.2716 -2.8369 -3.7437
O -3.6630 -0.5724 -5.5653
O -2.3733 1.2126 -2.7602
O -1.0132 0.3326 -5.9373
O -5.1189 0.2199 -2.3423
```

SG: P2_1/m (11)
V: 156.8 Å³ per cell

***

Tell me which of them is the least stable. Sure, it is arrangement R.

***

Arrangement P

A PBEsol-optimized structure of LiTi2O4, computed with meta-GGA SCAN.

extended XYZ file:
```
28
Lattice="3.7912 0.0000 0.0000 0.0000 8.0821 0.0000 0.0000 0.0000 9.0188" Properties=species:S:1:pos:R:3 pbc="T T T"
Li 0.0000 7.0801 7.5212
Li 1.8956 5.0430 3.0118
Li 1.8956 3.0391 6.0069
Li 0.0000 1.0019 1.4976
Ti 0.0000 7.1243 3.5429
Ti 1.8956 4.9988 8.0523
Ti 1.8956 3.0833 0.9665
Ti 0.0000 0.9578 5.4759
Ti 0.0000 2.9512 3.4766
Ti 1.8956 1.0898 7.9860
Ti 1.8956 6.9922 1.0328
Ti 0.0000 5.1309 5.5421
O 0.0000 7.0687 5.5271
O 0.0000 3.0413 5.4054
O 1.8956 5.0544 1.0177
O 1.8956 0.9998 0.8960
O 1.8956 6.9990 3.1403
O 1.8956 3.0951 3.1200
O 0.0000 5.1242 7.6497
O 0.0000 0.9459 7.6293
O 0.0000 5.0408 3.6134
O 0.0000 1.0134 3.4916
O 1.8956 7.0823 8.1227
O 1.8956 3.0277 8.0010
O 1.8956 4.9869 5.8988
O 1.8956 1.0831 5.8784
O 0.0000 7.1362 1.3894
O 0.0000 2.9579 1.3691
```

SG: Pnnm (58)
V: 276.3 Å³ per cell

***

Arrangement Q

A PBEsol-optimized structure of LiTi2O4, computed with meta-GGA SCAN.

extended XYZ file:
```
14
Lattice="-1.5011 -1.5322 -1.9745 3.1374 -3.8957 0.6378 -5.6991 -3.4429 7.0045" Properties=species:S:1:pos:R:3 pbc="T T T"
Li -4.5168 -4.5362 6.9540
Li -0.4884 -4.2786 3.6915
Ti -3.2155 -6.7193 5.5064
Ti -2.0656 -2.8874 1.6586
Ti -2.8060 -3.2320 4.6413
Ti 1.5157 -3.3385 1.4384
O 0.9646 -5.2318 1.1742
O -2.5288 -7.0074 7.3603
O -2.4793 -1.8091 3.2888
O -4.7090 -3.4466 4.1023
O -0.1741 -2.8025 2.3071
O -2.3462 -4.4163 3.0584
O 0.7301 -2.9764 -0.3977
O -2.8089 -4.7906 5.8530
```

SG: Pmc2_1 (26)
V: 142.1 Å³ per cell

***

Arrangement R

A PBEsol-optimized structure of LiTi2O4, computed with meta-GGA SCAN.

extended XYZ file:
```
28
Lattice="-4.0508 3.8426 1.7409 0.0966 -1.8332 -5.5529 -5.8355 -7.1796 2.2687" Properties=species:S:1:pos:R:3 pbc="T T T"
Li -4.7931 -4.2564 -1.7581
Li -2.9470 -3.6258 1.1457
Li -0.0292 -0.0360 0.0114
Li -3.2578 1.2254 -0.4612
Ti -2.2686 -2.9102 -3.6672
Ti -2.3159 -2.0122 -0.9473
Ti -7.8758 -3.6526 -0.4398
Ti -7.9231 -2.7546 2.2801
Ti -1.3593 -0.0317 -3.0931
Ti -4.2527 -1.0280 -2.8145
Ti -5.6596 -1.7295 0.4725
Ti -5.9390 -4.6368 1.4274
O -5.8658 -7.3834 -2.2937
O -2.7854 -1.0580 -4.1460
O -3.5979 -2.7859 -2.2228
O -1.0981 -1.3511 0.4269
O -4.0159 -4.9409 1.5613
O -7.9034 -5.4505 -1.4180
O -1.0305 -1.9498 -2.4542
O -2.8282 -0.2444 -1.6816
O -5.6728 -0.9205 -1.3441
O -5.9144 -6.4613 0.4995
O -5.9014 -3.6216 -0.2739
O -7.6992 -1.9162 0.4987
O -7.8982 -4.4837 1.3428
O -3.6837 -1.9312 0.5735
O -5.9443 -2.8080 2.1905
O -5.7214 0.0017 1.4491
```

SG: P6_3mc (186)
V: 282.2 Å³ per cell

***

Tell me which of them is the least stable. Sure, it is arrangement R.

***

Arrangement P

A PBEsol-optimized structure of Li7Ti11O24, computed with meta-GGA SCAN.

extended XYZ file:
```
42
Lattice="5.9019 0.0000 0.0000 0.0000 8.3465 -0.0036 -2.9509 -4.1534 8.8416" Properties=species:S:1:pos:R:3 pbc="T T T"
Li 0.0000 1.0090 1.4769
Li 2.9509 5.2265 4.4501
Li 0.0000 -1.0335 4.3879
Li 2.9509 3.1486 1.4387
Li 0.0000 1.0444 7.3993
Li 2.9509 3.1841 7.3612
Li 2.9509 0.0000 0.0000
Ti 0.0000 4.1664 5.9660
Ti 0.0000 4.1822 2.9409
Ti 1.4461 -2.1195 7.4045
Ti -1.4461 -2.1195 7.4045
Ti 2.9509 0.0108 5.8972
Ti 0.0000 4.1732 -0.0018
Ti 2.9509 0.0266 2.8720
Ti 4.3970 6.3126 1.4336
Ti 1.4755 2.0965 4.4190
Ti 1.5049 6.3126 1.4336
Ti -1.4755 2.0965 4.4190
O 2.9509 1.9928 3.0738
O 0.0000 2.1873 3.0898
O 1.3203 4.0774 4.4119
O -1.3203 4.0774 4.4119
O 1.3760 4.3330 7.2729
O -1.3760 4.3330 7.2729
O 0.0000 -2.1676 6.0304
O 0.0000 -2.0617 8.6411
O 0.0000 6.1366 2.7907
O 2.9509 -1.9770 8.7018
O 2.9509 -1.9435 6.0473
O 2.9509 6.3606 2.8076
O -1.6287 -0.0833 7.3685
O 1.6287 -0.0833 7.3685
O 4.2712 0.1157 4.4261
O 4.5797 4.2764 1.4696
O 1.6306 0.1157 4.4261
O 1.3222 4.2764 1.4696
O 0.0000 6.1700 0.1362
O 2.9509 2.0058 5.7482
O 2.9509 6.2548 0.1969
O 0.0000 2.2003 5.7642
O 4.3269 -0.1400 1.5651
O 1.5749 -0.1400 1.5651
```

SG: C2/m (12)
V: 435.4 Å³ per cell

***

Arrangement Q

A PBEsol-optimized structure of Li7Ti11O24, computed with meta-GGA SCAN.

extended XYZ file:
```
42
Lattice="5.0173 0.0000 0.0038 0.0000 8.7644 0.0000 -0.0445 0.0000 9.6210" Properties=species:S:1:pos:R:3 pbc="T T T"
Li 2.3805 4.3822 6.2512
Li 2.8092 2.9075 0.3087
Li 2.8092 5.8569 0.3087
Li 2.8059 0.0000 0.3558
Li 4.6727 2.9852 5.1977
Li 4.7050 0.0000 5.1703
Li 4.6727 5.7792 5.1977
Ti 0.0957 1.4792 1.3801
Ti 0.0957 7.2852 1.3801
Ti 0.0586 4.3822 1.3786
Ti 2.3770 1.5467 6.1853
Ti 2.3770 7.2177 6.1853
Ti 2.5489 2.9557 3.5428
Ti 2.5489 5.8087 3.5428
Ti 2.5690 0.0000 3.4848
Ti 4.9161 2.9417 8.2339
Ti 4.8635 0.0000 8.2816
Ti 4.9161 5.8227 8.2339
O 0.9982 1.4391 7.5146
O 0.8608 4.3822 7.5156
O 0.9982 7.3253 7.5146
O 0.9663 2.9117 0.3587
O 0.9613 0.0000 0.3614
O 0.9663 5.8527 0.3587
O 1.4982 2.8315 5.1299
O 1.5526 0.0000 5.1864
O 1.4982 5.9329 5.1299
O 1.5023 7.3301 2.6731
O 1.4925 4.3822 2.6676
O 1.5023 1.4343 2.6731
O 3.5969 2.8009 6.8866
O 3.5969 5.9635 6.8866
O 3.5559 0.0000 6.8546
O 3.5710 1.4669 4.4644
O 3.5710 7.2975 4.4644
O 3.6036 4.3822 4.3391
O 3.9087 1.4454 9.2906
O 3.9087 7.3190 9.2906
O 3.9089 4.3822 9.2679
O 3.9138 2.9005 2.0239
O 3.9453 0.0000 2.0760
O 3.9138 5.8639 2.0239
```

SG: Pm (6)
V: 423.1 Å³ per cell

***

Tell me which of them is the least stable. Sure, it is arrangement Q.

***

Arrangement P

A PBEsol-optimized structure of Li4Ti11O24, computed with meta-GGA SCAN.

extended XYZ file:
```
39
Lattice="-2.6600 -3.3983 2.5116 6.6834 -5.7023 -0.6531 3.5876 3.2463 8.1896" Properties=species:S:1:pos:R:3 pbc="T T T"
Li 1.4625 -0.1710 6.5816
Li 0.7066 -2.8133 1.2410
Li 3.4123 0.1214 4.4425
Li 7.8931 -3.6981 4.0543
Ti 2.9575 -7.0918 3.0270
Ti 0.7466 -5.2025 3.2888
Ti -1.5878 -3.3441 3.5810
Ti 5.8845 -4.0892 6.1592
Ti 3.6574 -2.0543 6.3117
Ti 1.6760 -1.8821 4.0939
Ti 6.1550 -5.7105 3.6053
Ti 4.0281 -3.6890 3.7392
Ti 4.6866 1.3356 6.8233
Ti 9.1010 -2.6449 6.5736
Ti 6.8544 -0.7065 6.8233
O 1.0542 -0.8006 8.4170
O 5.5833 -4.5787 7.9426
O 3.4331 -2.6164 8.1332
O 1.8721 -5.9378 1.9445
O 4.1179 -7.8883 1.7483
O -0.3413 -4.0195 2.1488
O 4.0097 -3.8872 5.6919
O 6.0715 -5.8514 5.4938
O 1.7765 -2.1401 5.9471
O -0.2816 -1.9317 3.9232
O 1.9916 -3.7724 3.6222
O 4.1928 -5.6266 3.3901
O 3.5976 -0.1637 6.4178
O 7.7923 -3.8440 6.0580
O 5.6520 -2.0763 6.3793
O 5.9256 -3.8131 4.0233
O 3.6140 -1.8262 4.2458
O 1.4062 0.0060 4.3764
O 5.7082 0.1066 8.1287
O 7.9378 -1.7910 7.9242
O 3.5024 1.9050 8.3657
O 1.9293 -1.4078 2.0711
O 6.4476 -5.0747 1.6846
O 4.2878 -3.1257 1.9109
```

SG: P1 (1)
V: 418.4 Å³ per cell

***

Arrangement Q

A PBEsol-optimized structure of Li4Ti11O24, computed with meta-GGA SCAN.

extended XYZ file:
```
39
Lattice="5.9109 0.0000 0.0000 0.0000 8.3542 0.0025 -2.9555 -4.1504 8.8032" Properties=species:S:1:pos:R:3 pbc="T T T"
Li 0.0000 -0.0112 0.0570
Li 0.0000 -0.0621 5.8826
Li 2.9555 2.1360 5.8147
Li 0.0000 3.1510 7.3309
Ti 0.0000 3.1463 4.4820
Ti 0.0000 3.2582 1.5055
Ti -1.4240 5.1797 5.9315
Ti 1.4240 5.1797 5.9315
Ti 2.9555 -1.1600 4.3455
Ti 2.9555 -1.0306 7.3717
Ti 2.9555 7.3445 1.3624
Ti -1.4336 1.1176 8.7619
Ti 4.4216 1.0586 2.9244
Ti 1.4893 1.0586 2.9244
Ti 1.4336 1.1176 8.7619
O 2.9555 0.9446 1.6389
O 0.0000 1.1300 1.6374
O 1.2859 2.9866 2.9286
O 4.6250 2.9866 2.9286
O 1.3832 3.2883 5.7710
O -1.3832 3.2883 5.7710
O 0.0000 -3.1160 7.1121
O 0.0000 5.0927 4.5821
O 0.0000 5.0985 1.2882
O 2.9555 -3.0074 7.2215
O 2.9555 5.3765 4.5898
O 2.9555 5.3740 1.2725
O -1.6498 -1.1326 5.8725
O 1.6498 -1.1326 5.8725
O 1.6775 -0.8792 8.7962
O 4.2476 -0.8798 2.9493
O 1.6633 -0.8798 2.9493
O -1.6775 -0.8792 8.7962
O 2.9555 0.9807 7.4460
O 2.9555 0.9878 4.2427
O 0.0000 1.1408 4.2782
O 0.0000 1.0454 7.5227
O 4.3406 7.1716 0.0950
O 1.5703 7.1716 0.0950
```

SG: Cm (8)
V: 434.8 Å³ per cell

***

Tell me which of them is the least stable. Sure, it is arrangement Q.

***

Arrangement P

A PBEsol-optimized structure of Li3Ti4O8, computed with meta-GGA SCAN.

extended XYZ file:
```
15
Lattice="-5.3954 0.0427 2.2590 -4.6536 -0.2109 -3.5376 -3.2967 -4.8804 -0.2083" Properties=species:S:1:pos:R:3 pbc="T T T"
Li -2.6977 0.0214 1.1295
Li -2.3268 -0.1055 -1.7688
Li -5.0245 -0.0841 -0.6393
Ti -3.9751 -2.5456 -1.8729
Ti 0.0000 0.0000 0.0000
Ti -1.6483 -2.4402 -0.1041
Ti -4.3460 -2.4188 1.0254
O -7.3607 -3.8011 -2.3621
O -3.3357 -1.3294 -0.3687
O -8.4866 -1.3608 -1.0264
O -7.7594 -3.6647 0.7539
O -5.5863 -1.3838 -2.2408
O -4.8591 -3.6877 -0.4604
O -10.0100 -3.7191 -1.1182
O -5.9850 -1.2475 0.8752
```

SG: R-3m (166)
V: 143.1 Å³ per cell

***

Arrangement Q

A PBEsol-optimized structure of Li3Ti4O8, computed with meta-GGA SCAN.

extended XYZ file:
```
15
Lattice="2.8711 0.0000 0.0000 0.0000 5.0729 0.0654 0.0000 -0.2923 9.6686" Properties=species:S:1:pos:R:3 pbc="T T T"
Li 0.0000 2.0941 0.9963
Li 1.4356 2.6566 8.7531
Li 1.4356 4.6119 4.2364
Ti 0.0000 0.1084 8.2980
Ti 0.0000 2.1167 3.6248
Ti 1.4356 2.6552 6.1567
Ti 1.4356 4.6797 1.3618
O 0.0000 0.5682 2.3425
O 1.4356 0.8593 9.6046
O 1.4356 1.2983 4.7266
O 0.0000 1.7656 7.3143
O 1.4356 3.0790 2.5282
O 0.0000 3.5586 5.0004
O 0.0000 3.8828 0.1531
O 1.4356 4.1648 7.4648
```

SG: Pm (6)
V: 140.9 Å³ per cell

***

Tell me which of them is the least stable. Sure, it is arrangement P.